VASP calculation (PBE) on crystalline Pm3NdDy7 at its relaxed geometry.

Results
Energy relative to the lowest polymorph listed for this composition in meV per atom: 109
Total energy in Ry per atom: -0.324
N(E_F) in states/eV per cell: 16.435

Cell and atoms, written as POSCAR:
```
Pm3NdDy7
1.0
5.849 -0.199 -0.254
-2.616 7.983 1.059
-2.616 -0.908 8.002
Pm Nd Dy
3 1 7
Cartesian
-2.616 6.113 2.520
2.925 -0.099 -0.127
-2.616 0.962 6.541
0.308 3.438 4.403
0.124 1.407 1.802
-2.437 7.268 5.745
3.053 3.065 0.362
-2.437 3.812 8.444
-2.616 3.538 4.530
3.053 -0.392 3.061
0.492 5.470 7.004
```



VASP calculation (PBE) on crystalline PrSmGdRu at its relaxed geometry.

Results
Total energy in Ry per atom: -0.591
N(E_F) in states/eV per cell: 7.340

Cell and atoms, written as POSCAR:
```
PrSmGdRu
1.0
5.250 0.000 0.000
2.625 4.547 0.000
2.625 1.516 4.287
Pr Ru Gd Sm
1 1 1 1
Cartesian
5.250 3.031 2.143
2.625 1.516 1.072
7.875 4.547 3.215
0.000 0.000 0.000
```



VASP calculation (PBE) on crystalline Pm3Er3Ga4 at its relaxed geometry.

Results
Total energy in Ry per atom: -0.333
N(E_F) in states/eV per cell: 11.451

Cell and atoms, written as POSCAR:
```
Pm3Er3Ga4
1.0
-1.222 1.492 3.991
2.487 -6.514 3.195
6.969 3.044 0.996
Pm Er Ga
3 3 4
Cartesian
2.648 -4.123 4.813
2.467 -0.372 3.355
5.777 -1.586 4.823
1.243 -3.248 1.594
5.979 -4.985 3.693
5.570 2.108 3.378
4.197 -2.867 2.356
5.288 -0.542 1.821
8.321 -3.088 3.701
1.107 -0.441 0.504
```